[1]
An optimized crystal structure of AcTmAlPt2, computed with PBE.

Cell: 6.892 6.892 6.892 Å, 143.12 143.12 53.14°
Sites, in units of the cell vectors:
Ac 0.000 0.000 0.000
Tm 0.750 0.250 0.500
Al 0.250 0.750 0.500
Pt 0.386 0.386 0.000
Pt 0.614 0.614 0.000

Values from the calculation:
**Symmetry**: I-4m2 (119)
**Calculated formation energy**: -1070 meV/atom



[2]
An optimized crystal structure of Sr8Cd2In, computed with PBE.

Cell: 10.042 10.042 10.042 Å, 147.00 122.39 68.01°
Sites, in units of the cell vectors:
Sr 0.119 0.339 0.780
Sr 0.135 0.135 0.000
Sr 0.314 0.000 0.314
Sr 0.442 0.661 0.780
Sr 0.558 0.339 0.220
Sr 0.686 0.000 0.686
Sr 0.865 0.865 0.000
Sr 0.881 0.661 0.220
Cd 0.309 0.809 0.500
Cd 0.691 0.191 0.500
In 0.000 0.500 0.500

Values from the calculation:
**Symmetry**: Immm (71)
**Calculated formation energy**: -139 meV/atom



[3]
An optimized crystal structure of La2Cu17, computed with PBE.

Cell: 6.551 6.551 6.551 Å, 82.94 82.94 82.94°
Sites, in units of the cell vectors:
La 0.157 0.157 0.157
La 0.843 0.843 0.843
Cu 0.000 0.500 0.500
Cu 0.158 0.158 0.651
Cu 0.158 0.651 0.158
Cu 0.210 0.500 0.790
Cu 0.210 0.790 0.500
Cu 0.349 0.842 0.842
Cu 0.403 0.403 0.403
Cu 0.500 0.000 0.500
Cu 0.500 0.210 0.790
Cu 0.500 0.500 0.000
Cu 0.500 0.790 0.210
Cu 0.597 0.597 0.597
Cu 0.651 0.158 0.158
Cu 0.790 0.210 0.500
Cu 0.790 0.500 0.210
Cu 0.842 0.349 0.842
Cu 0.842 0.842 0.349

Values from the calculation:
**Symmetry**: R-3m (166)
**Calculated formation energy**: -102 meV/atom



[4]
An optimized crystal structure of Y3BeCo3, computed with PBE.

Cell: 5.522 5.522 13.322 Å, 110.02 110.02 42.36°
Sites, in units of the cell vectors:
Y 0.033 0.033 0.385
Y 0.107 0.107 0.922
Y 0.251 0.251 0.234
Y 0.749 0.749 0.766
Y 0.893 0.893 0.078
Y 0.967 0.967 0.615
Be 0.256 0.256 0.601
Be 0.744 0.744 0.399
Co 0.331 0.331 0.464
Co 0.402 0.402 0.920
Co 0.446 0.446 0.763
Co 0.554 0.554 0.237
Co 0.598 0.598 0.080
Co 0.669 0.669 0.536

Values from the calculation:
**Symmetry**: C2/m (12)
**Calculated formation energy**: -172 meV/atom



Number 1: calculated volume 117 Å³ per cell, total magnetic moment 0.000 μB per formula unit. Number 2: calculated volume 460 Å³ per cell, total magnetic moment 0.000 μB per formula unit. Number 3: calculated volume 275 Å³ per cell, total magnetic moment 0.000 μB per formula unit. Number 4: calculated volume 255 Å³ per cell, total magnetic moment 0.030 μB per formula unit.